No. 1
Computed, not measured: Cd2CuPb after structural relaxation at the PBE level of DFT.

POSCAR file:
```
Cd2CuPb
1.0
0.000 3.557 3.557
3.557 0.000 3.557
3.557 3.557 0.000
Cd Cu Pb
2 1 1
direct
0.000 0.000 0.000
0.250 0.250 0.250
0.500 0.500 0.500
0.750 0.750 0.750
```

Properties
DOS(E_F) in states/eV/f.u.: 1.16
Energy of formation from the pure elements in eV per atom: 0.2298
M_tot in μB per formula unit: 0.0
Uncorrected energy in eV per atom: -2.18


No. 2
Computed, not measured: Hf3AgB after structural relaxation at the PBE level of DFT.

POSCAR file:
```
Hf3AgB
1.0
5.015 0.000 0.000
0.000 5.015 0.000
0.000 0.000 5.015
Hf Ag B
3 1 1
direct
0.000 0.000 0.500
0.000 0.500 0.000
0.500 0.000 0.000
0.000 0.000 0.000
0.500 0.500 0.500
```

Properties
DOS(E_F) in states/eV/f.u.: 1.67
Energy of formation from the pure elements in eV per atom: 1.7966
M_tot in μB per formula unit: 0.0
ΔE to the lowest computed polymorph in meV per atom: 1913
Uncorrected energy in eV per atom: -6.08


No. 3
Computed, not measured: Pu6HgSb2 after structural relaxation at the PBE level of DFT.

POSCAR file:
```
Pu6HgSb2
1.0
8.872 0.000 0.000
-4.436 7.683 0.000
0.000 0.000 3.382
Pu Hg Sb
6 1 2
direct
0.000 0.335 0.000
0.000 0.665 0.000
0.335 0.000 0.000
0.335 0.335 0.000
0.665 0.000 0.000
0.665 0.665 0.000
0.000 0.000 0.500
0.333 0.667 0.500
0.667 0.333 0.500
```

Properties
DOS(E_F) in states/eV/f.u.: 29.54
M_tot in μB per formula unit: 36.8
Uncorrected energy in eV per atom: -10.61
Energy relative to the elements, uncorrected in kJ/mol of atoms: -10


Q: Among the records above, which one has the lowest uncorrected energy?
A: Pu6HgSb2


Q: Which value of M_tot does entry 3 give?
A: 36.8 μB per formula unit


Q: M_tot of number 3 (Pu6HgSb2)?
A: 36.8 μB per formula unit